*one*
VASP calculation (PBE) on an optimized crystal structure of CuOs.

a b c (Å): 4.1044 7.0505 7.6512
angles (deg): 90.00 90.00 90.00
With the nearest neighbours (Å) after each atom.
Fractional coordinates of all 16 atoms:
1 Cu 0.0000 0.0038 0.2500  3 Cu 2.36
2 Cu 0.0000 0.3384 0.2500  3 Cu 2.36, 2 Os 2.50
3 Cu 0.0000 0.6616 0.7500  3 Cu 2.36, 2 Os 2.50
4 Cu 0.0000 0.9962 0.7500  3 Cu 2.36
5 Cu 0.5000 0.1616 0.7500  3 Cu 2.36, 2 Os 2.50
6 Cu 0.5000 0.4962 0.7500  3 Cu 2.36
7 Cu 0.5000 0.5038 0.2500  3 Cu 2.36
8 Cu 0.5000 0.8384 0.2500  3 Cu 2.36, 2 Os 2.50
9 Os 0.0000 0.3305 0.5766  7 Cu 2.50-2.72, 4 Os 2.62-2.66
10 Os 0.0000 0.3305 0.9234  7 Cu 2.50-2.72, 4 Os 2.62-2.66
11 Os 0.0000 0.6695 0.0766  7 Cu 2.50-2.72, 4 Os 2.62-2.66
12 Os 0.0000 0.6695 0.4234  7 Cu 2.50-2.72, 4 Os 2.62-2.66
13 Os 0.5000 0.1695 0.0766  7 Cu 2.50-2.72, 4 Os 2.62-2.66
14 Os 0.5000 0.1695 0.4234  7 Cu 2.50-2.72, 4 Os 2.62-2.66
15 Os 0.5000 0.8305 0.5766  7 Cu 2.50-2.72, 4 Os 2.62-2.66
16 Os 0.5000 0.8305 0.9234  7 Cu 2.50-2.72, 4 Os 2.62-2.66

Computed properties:
Size of the total moment, μB/cell: 0.0
SG: Cmcm (63)
Fermi-level density of states, states/eV per atom: 1.02

*two*
VASP calculation (PBE) on an optimized crystal structure of CuOs.

a b c (Å): 3.8812 3.8812 4.5022
angles (deg): 90.00 90.00 120.00
With the nearest neighbours (Å) after each atom.
Fractional coordinates of all 4 atoms:
1 Cu 0.0000 0.0000 0.0000  2 Cu 2.25, 6 Os 2.51
2 Cu 0.0000 0.0000 0.5000  2 Cu 2.25, 6 Os 2.51
3 Os 0.3333 0.6667 0.2500  6 Cu 2.51
4 Os 0.6667 0.3333 0.7500  6 Cu 2.51

Computed properties:
Size of the total moment, μB/cell: 1.1
SG: P6_3/mmc (194)
Fermi-level density of states, states/eV per atom: 1.23

*three*
VASP calculation (PBE) on an optimized crystal structure of CuOs.

a b c (Å): 7.0079 7.0079 4.1109
angles (deg): 90.00 90.00 120.00
With the nearest neighbours (Å) after each atom.
Fractional coordinates of all 12 atoms:
1 Cu 0.0469 0.2305 0.2500  6 Cu 2.53-2.56, 5 Os 2.57-2.79
2 Cu 0.1836 0.9531 0.2500  6 Cu 2.53-2.56, 5 Os 2.57-2.79
3 Cu 0.2305 0.1836 0.7500  6 Cu 2.53-2.56, 5 Os 2.57-2.79
4 Cu 0.7695 0.8164 0.2500  6 Cu 2.53-2.56, 5 Os 2.57-2.79
5 Cu 0.8164 0.0469 0.7500  6 Cu 2.53-2.56, 5 Os 2.57-2.79
6 Cu 0.9531 0.7695 0.7500  6 Cu 2.53-2.56, 5 Os 2.57-2.79
7 Os 0.0979 0.4980 0.7500  4 Os 2.48-2.55, 4 Cu 2.57-2.77
8 Os 0.4000 0.9021 0.7500  4 Os 2.48-2.55, 4 Cu 2.57-2.77
9 Os 0.4980 0.4000 0.2500  4 Os 2.48-2.55, 4 Cu 2.57-2.77
10 Os 0.5020 0.6000 0.7500  4 Os 2.48-2.55, 4 Cu 2.57-2.77
11 Os 0.6000 0.0979 0.2500  4 Os 2.48-2.55, 4 Cu 2.57-2.77
12 Os 0.9021 0.5020 0.2500  4 Os 2.48-2.55, 4 Cu 2.57-2.77

Computed properties:
Size of the total moment, μB/cell: 0.0
SG: P6_3/m (176)
Fermi-level density of states, states/eV per atom: 0.81

*four*
VASP calculation (PBE) on an optimized crystal structure of CuOs.

a b c (Å): 2.7098 2.7098 8.5412
angles (deg): 90.00 90.00 120.00
With the nearest neighbours (Å) after each atom.
Fractional coordinates of all 4 atoms:
1 Cu 0.0000 0.0000 0.0000  9 Cu 2.56-2.71, 3 Os 2.72
2 Cu 0.3333 0.6667 0.2377  9 Cu 2.56-2.71, 3 Os 2.69
3 Os 0.3333 0.6667 0.7398  9 Os 2.62-2.71, 3 Cu 2.72
4 Os 0.6667 0.3333 0.4934  9 Os 2.62-2.71, 3 Cu 2.69

Computed properties:
Size of the total moment, μB/cell: 0.0
SG: P3m1 (156)
Fermi-level density of states, states/eV per atom: 1.30

Energy comparison, zero being the most stable, in meV/atom: *one* 350; *two* 1132; *three* 283; *four* 0.

*one*
VASP calculation (PBE) on an optimized crystal structure of CuOs.

a b c (Å): 3.8969 3.8969 4.8956
angles (deg): 90.00 90.00 120.00
With the nearest neighbours (Å) after each atom.
Fractional coordinates of all 4 atoms:
1 Cu 0.3333 0.6667 0.2500  6 Os 2.56
2 Cu 0.6667 0.3333 0.7500  6 Os 2.56
3 Os 0.0000 0.0000 0.0000  2 Os 2.45, 6 Cu 2.56
4 Os 0.0000 0.0000 0.5000  2 Os 2.45, 6 Cu 2.56

Computed properties:
Size of the total moment, μB/cell: 0.0
SG: P6_3/mmc (194)
Fermi-level density of states, states/eV per atom: 1.16

*two*
VASP calculation (PBE) on an optimized crystal structure of CuOs.

a b c (Å): 4.7529 4.7529 4.7529
angles (deg): 90.00 90.00 90.00
With the nearest neighbours (Å) after each atom.
Fractional coordinates of all 8 atoms:
1 Cu 0.0985 0.4015 0.5985  7 Os 2.46-2.58
2 Cu 0.4015 0.5985 0.0985  7 Os 2.46-2.58
3 Cu 0.5985 0.0985 0.4015  7 Os 2.46-2.58
4 Cu 0.9015 0.9015 0.9015  7 Os 2.46-2.58
5 Os 0.1028 0.8972 0.3972  7 Cu 2.46-2.58
6 Os 0.3972 0.1028 0.8972  7 Cu 2.46-2.58
7 Os 0.6028 0.6028 0.6028  7 Cu 2.46-2.58
8 Os 0.8972 0.3972 0.1028  7 Cu 2.46-2.58

Computed properties:
Size of the total moment, μB/cell: 0.0
SG: P2_13 (198)
Fermi-level density of states, states/eV per atom: 1.07

*three*
VASP calculation (PBE) on an optimized crystal structure of CuOs.

a b c (Å): 8.0849 8.0849 2.4478
angles (deg): 90.00 90.00 90.00
With the nearest neighbours (Å) after each atom.
Fractional coordinates of all 8 atoms:
1 Cu 0.1936 0.1936 0.0000  2 Cu 2.45, 4 Os 2.55
2 Cu 0.3064 0.6936 0.5000  2 Cu 2.45, 4 Os 2.55
3 Cu 0.6936 0.3064 0.5000  2 Cu 2.45, 4 Os 2.55
4 Cu 0.8064 0.8064 0.0000  2 Cu 2.45, 4 Os 2.55
5 Os 0.1105 0.8895 0.0000  3 Os 2.45-2.53, 4 Cu 2.55
6 Os 0.3895 0.3895 0.5000  3 Os 2.45-2.53, 4 Cu 2.55
7 Os 0.6105 0.6105 0.5000  3 Os 2.45-2.53, 4 Cu 2.55
8 Os 0.8895 0.1105 0.0000  3 Os 2.45-2.53, 4 Cu 2.55

Computed properties:
Size of the total moment, μB/cell: 0.0
SG: P4_2/mnm (136)
Fermi-level density of states, states/eV per atom: 1.01

Energy comparison, zero being the most stable, in meV/atom: *one* 531; *two* 0; *three* 488.

*one*
VASP calculation (PBE) on an optimized crystal structure of CuOs.

a b c (Å): 8.7788 2.7006 4.5918
angles (deg): 90.00 99.40 90.00
With the nearest neighbours (Å) after each atom.
Fractional coordinates of all 8 atoms:
1 Cu 0.1245 0.0000 0.4011  5 Cu 2.50-2.70, 7 Os 2.66-2.77
2 Cu 0.3755 0.5000 0.5989  5 Cu 2.50-2.70, 7 Os 2.66-2.77
3 Cu 0.6245 0.5000 0.4011  5 Cu 2.50-2.70, 7 Os 2.66-2.77
4 Cu 0.8755 0.0000 0.5989  5 Cu 2.50-2.70, 7 Os 2.66-2.77
5 Os 0.1272 0.5000 0.9022  5 Os 2.54-2.70, 7 Cu 2.66-2.77
6 Os 0.3728 0.0000 0.0978  5 Os 2.54-2.70, 7 Cu 2.66-2.77
7 Os 0.6272 0.0000 0.9022  5 Os 2.54-2.70, 7 Cu 2.66-2.77
8 Os 0.8728 0.5000 0.0978  5 Os 2.54-2.70, 7 Cu 2.66-2.77

Computed properties:
Size of the total moment, μB/cell: 0.0
SG: C2/m (12)
Fermi-level density of states, states/eV per atom: 0.76

*two*
VASP calculation (PBE) on an optimized crystal structure of CuOs.

a b c (Å): 2.7336 4.5279 8.9326
angles (deg): 90.00 90.00 90.00
With the nearest neighbours (Å) after each atom.
Fractional coordinates of all 8 atoms:
1 Cu 0.0000 0.2500 0.1165  8 Cu 2.49-2.73, 2 Os 2.67
2 Cu 0.0000 0.7500 0.8835  8 Cu 2.49-2.73, 2 Os 2.67
3 Cu 0.5000 0.2500 0.8835  8 Cu 2.49-2.73, 2 Os 2.67
4 Cu 0.5000 0.7500 0.1165  8 Cu 2.49-2.73, 2 Os 2.67
5 Os 0.0000 0.2500 0.6268  8 Os 2.64-2.73, 2 Cu 2.67
6 Os 0.0000 0.7500 0.3732  8 Os 2.64-2.73, 2 Cu 2.67
7 Os 0.5000 0.2500 0.3732  8 Os 2.64-2.73, 2 Cu 2.67
8 Os 0.5000 0.7500 0.6268  8 Os 2.64-2.73, 2 Cu 2.67

Computed properties:
Size of the total moment, μB/cell: 0.0
SG: Cmme (67)
Fermi-level density of states, states/eV per atom: 0.97

*three*
VASP calculation (PBE) on an optimized crystal structure of CuOs.

a b c (Å): 7.5433 7.5433 7.5433
angles (deg): 90.00 90.00 90.00
With the nearest neighbours (Å) after each atom.
Fractional coordinates of all 16 atoms:
1 Cu 0.1991 0.1991 0.1991  4 Os 2.38-2.55
2 Cu 0.1991 0.8009 0.8009  4 Os 2.38-2.55
3 Cu 0.3009 0.3009 0.6991  4 Os 2.38-2.55
4 Cu 0.3009 0.6991 0.3009  4 Os 2.38-2.55
5 Cu 0.6991 0.3009 0.3009  4 Os 2.38-2.55
6 Cu 0.6991 0.6991 0.6991  4 Os 2.38-2.55
7 Cu 0.8009 0.1991 0.8009  4 Os 2.38-2.55
8 Cu 0.8009 0.8009 0.1991  4 Os 2.38-2.55
9 Os 0.1188 0.1188 0.8812  4 Cu 2.38-2.55, 3 Os 2.53
10 Os 0.1188 0.8812 0.1188  4 Cu 2.38-2.55, 3 Os 2.53
11 Os 0.3812 0.3812 0.3812  4 Cu 2.38-2.55, 3 Os 2.53
12 Os 0.3812 0.6188 0.6188  4 Cu 2.38-2.55, 3 Os 2.53
13 Os 0.6188 0.3812 0.6188  4 Cu 2.38-2.55, 3 Os 2.53
14 Os 0.6188 0.6188 0.3812  4 Cu 2.38-2.55, 3 Os 2.53
15 Os 0.8812 0.1188 0.1188  4 Cu 2.38-2.55, 3 Os 2.53
16 Os 0.8812 0.8812 0.8812  4 Cu 2.38-2.55, 3 Os 2.53

Computed properties:
Size of the total moment, μB/cell: 7.3
SG: I-43m (217)
Fermi-level density of states, states/eV per atom: 1.75

*four*
VASP calculation (PBE) on an optimized crystal structure of CuOs.

a b c (Å): 5.4122 5.4122 5.4122
angles (deg): 90.00 90.00 90.00
With the nearest neighbours (Å) after each atom.
Fractional coordinates of all 8 atoms:
1 Cu 0.0000 0.0000 0.0000  4 Os 2.34
2 Cu 0.0000 0.5000 0.5000  4 Os 2.34
3 Cu 0.5000 0.0000 0.5000  4 Os 2.34
4 Cu 0.5000 0.5000 0.0000  4 Os 2.34
5 Os 0.2500 0.2500 0.7500  4 Cu 2.34
6 Os 0.2500 0.7500 0.2500  4 Cu 2.34
7 Os 0.7500 0.2500 0.2500  4 Cu 2.34
8 Os 0.7500 0.7500 0.7500  4 Cu 2.34

Computed properties:
Size of the total moment, μB/cell: 6.1
SG: F-43m (216)
Fermi-level density of states, states/eV per atom: 1.73

Energy comparison, zero being the most stable, in meV/atom: *one* 0; *two* 154; *three* 1643; *four* 2020.